No. 1
The following is a PBE calculation of a relaxed Sm2Dy3Al crystal, from the Alexandria database.

## Properties
energy relative to the elements	-0.084	eV per atom
size of the total moment	0.00	μB per formula unit
VASP energy	-27.49	eV per formula unit

Cell and atoms, written as POSCAR:
```
Sm2Dy3Al
1.0
4.8542 0.0000 0.0000
0.0000 4.5652 -1.5436
0.0000 0.1200 7.8777
Sm Dy Al
2 3 1
direct
0.0000 0.6591 0.3183
0.0000 0.3409 0.6817
0.5000 0.8376 0.6753
0.5000 0.5000 0.0000
0.5000 0.1624 0.3247
0.0000 0.0000 0.0000
```

***

No. 2
The following is a PBE calculation of a relaxed Sm8DyAl2 crystal, from the Alexandria database.

## Properties
energy relative to the elements	0.004	eV per atom
size of the total moment	0.00	μB per formula unit
VASP energy	-49.80	eV per formula unit

Cell and atoms, written as POSCAR:
```
Sm8DyAl2
1.0
-4.4200 0.3471 -3.6289
4.4335 -6.7597 -3.1649
-3.9915 -0.8716 7.6599
Sm Al Dy
8 2 1
direct
0.5000 0.2239 0.7761
0.1121 0.0877 0.3239
0.7059 0.4061 0.4061
0.2941 0.5939 0.5939
0.8879 0.6761 0.9123
0.8879 0.9123 0.6761
0.5000 0.7761 0.2239
0.1121 0.3239 0.0877
0.0000 0.3073 0.6927
0.0000 0.6927 0.3073
0.5000 0.0000 0.0000
```

***

No. 3
The following is a PBE calculation of a relaxed Sm2DyAl crystal, from the Alexandria database.

## Properties
energy relative to the elements	-0.155	eV per atom
size of the total moment	0.00	μB per formula unit
relative energy among the computed polymorphs	34	meV per atom
VASP energy	-18.40	eV per formula unit

Cell and atoms, written as POSCAR:
```
Sm2DyAl
1.0
3.5419 0.0000 0.0000
0.0000 3.5419 0.0000
0.0000 0.0000 9.2313
Al Sm Dy
1 2 1
direct
0.5000 0.5000 0.0000
0.0000 0.0000 0.7842
0.0000 0.0000 0.2158
0.5000 0.5000 0.5000
```